Run A
Compound: NbCdOs3
Source: the Alexandria database
Functional: PBE-GGA
Structure: optimized geometry

Theoretical density in kg/m3: 11813

```
NbCdOs3
1.0
4.778 0.000 0.000
0.000 4.778 0.000
0.000 0.000 4.778
Cd Os Nb
1 3 1
direct
0.500 0.500 0.500 Cd
0.500 0.000 0.000 Os
0.000 0.000 0.500 Os
0.000 0.500 0.000 Os
0.000 0.000 0.000 Nb
```


Run B
Compound: NbCdOs3
Source: the Alexandria database
Functional: PBE-GGA
Structure: optimized geometry

Theoretical density in kg/m3: 12410

```
NbCdOs3
1.0
4.700 0.000 0.000
0.000 4.700 0.000
0.000 0.000 4.700
Nb Os Cd
1 3 1
direct
0.500 0.500 0.500 Nb
0.000 0.000 0.500 Os
0.500 0.000 0.000 Os
0.000 0.500 0.000 Os
0.000 0.000 0.000 Cd
```


It turns out run A is the most stable, with the second structure 717 meV/atom higher.


Run A
Compound: NbCd3P
Source: the Alexandria database
Functional: PBE-GGA
Structure: optimized geometry

Theoretical density in kg/m3: 4936

```
NbCd3P
1.0
5.373 0.000 0.000
0.000 5.373 0.000
0.000 0.000 5.373
P Nb Cd
1 1 3
direct
0.500 0.500 0.500 P
0.000 0.000 0.000 Nb
0.500 0.000 0.000 Cd
0.000 0.500 0.000 Cd
0.000 0.000 0.500 Cd
```


Run B
Compound: NbCd3P
Source: the Alexandria database
Functional: PBE-GGA
Structure: optimized geometry

Theoretical density in kg/m3: 6037

```
NbCd3P
1.0
5.024 0.000 0.000
0.000 5.024 0.000
0.000 0.000 5.024
Cd Nb P
3 1 1
direct
0.000 0.500 0.000 Cd
0.500 0.000 0.000 Cd
0.000 0.000 0.500 Cd
0.500 0.500 0.500 Nb
0.000 0.000 0.000 P
```


It turns out run B is the most stable, with the second structure 451 meV/atom higher.


Run A
Compound: Nb2CdP2
Source: the Alexandria database
Functional: PBE-GGA
Structure: optimized geometry

Theoretical density in kg/m3: 6051

```
Nb2CdP2
1.0
-1.025 -3.291 -2.694
4.222 -1.123 -0.234
0.991 -5.341 2.595
Nb Cd P
2 1 2
direct
0.370 0.370 0.260 Nb
0.630 0.630 0.740 Nb
0.000 0.000 0.000 Cd
0.250 0.750 0.500 P
0.750 0.250 0.500 P
```


Run B
Compound: Nb2CdP2
Source: the Alexandria database
Functional: PBE-GGA
Structure: optimized geometry

Theoretical density in kg/m3: 7035

```
Nb2CdP2
1.0
-3.465 6.243 1.333
-6.032 -2.706 -3.008
-0.927 -1.128 2.873
Nb Cd P
4 2 4
direct
0.858 0.642 0.000 Nb
0.142 0.358 0.000 Nb
0.358 0.858 0.000 Nb
0.642 0.142 0.000 Nb
0.500 0.500 0.000 Cd
0.000 0.000 0.000 Cd
0.856 0.356 0.500 P
0.144 0.644 0.500 P
0.356 0.144 0.500 P
0.644 0.856 0.500 P
```


It turns out run B is the most stable, with the second structure 401 meV/atom higher.


Run A
Compound: PaNbCd
Source: the Alexandria database
Functional: PBE-GGA
Structure: optimized geometry

Theoretical density in kg/m3: 11109

```
PaNbCd
1.0
-2.356 -1.041 -1.507
0.829 -2.795 0.634
-3.246 2.119 6.563
Cd Nb Pa
1 1 1
direct
0.991 0.991 0.982 Cd
0.337 0.337 0.673 Nb
0.672 0.672 0.344 Pa
```


Run B
Compound: PaNbCd
Source: the Alexandria database
Functional: PBE-GGA
Structure: optimized geometry

Theoretical density in kg/m3: 9701

```
PaNbCd
1.0
4.567 0.000 0.000
0.000 4.567 0.000
0.000 0.000 7.162
Cd Pa Nb
2 2 2
direct
0.500 0.000 0.644 Cd
0.000 0.500 0.356 Cd
0.000 0.000 0.000 Pa
0.500 0.500 0.000 Pa
0.000 0.500 0.773 Nb
0.500 0.000 0.227 Nb
```


It turns out run A is the most stable, with the second structure 441 meV/atom higher.


Run A
Compound: Ta2NbCdPb
Source: the Alexandria database
Functional: PBE-GGA
Structure: optimized geometry

Theoretical density in kg/m3: 9687

```
Ta2NbCdPb
1.0
-4.747 1.125 -0.777
0.126 -2.719 -4.710
-1.363 -4.128 2.347
Cd Ta Pb Nb
1 2 1 1
direct
0.500 0.500 0.500 Cd
0.000 0.000 0.500 Ta
0.500 0.000 0.000 Ta
0.000 0.500 0.000 Pb
0.000 0.000 0.000 Nb
```


Run B
Compound: Ta2NbCdPb
Source: the Alexandria database
Functional: PBE-GGA
Structure: optimized geometry

Theoretical density in kg/m3: 9687

```
Ta2NbCdPb
1.0
5.160 0.000 0.000
0.000 4.986 0.000
0.000 0.000 5.160
Pb Ta Nb Cd
1 2 1 1
direct
0.000 0.000 0.000 Pb
0.500 0.000 0.000 Ta
0.000 0.000 0.500 Ta
0.500 0.500 0.500 Nb
0.000 0.500 0.000 Cd
```


It turns out run A is the most stable, with the second structure 815 meV/atom higher.


Run A
Compound: Nb3CdPd
Source: the Alexandria database
Functional: PBE-GGA
Structure: optimized geometry

Theoretical density in kg/m3: 6745

```
Nb3CdPd
1.0
-4.054 -0.579 2.810
2.523 -3.035 3.015
1.366 3.889 2.771
Cd Nb Pd
1 3 1
direct
0.000 0.000 0.000 Cd
0.000 0.500 0.000 Nb
0.500 0.000 0.000 Nb
0.000 0.000 0.500 Nb
0.500 0.500 0.500 Pd
```


Run B
Compound: Nb3CdPd
Source: the Alexandria database
Functional: PBE-GGA
Structure: optimized geometry

Theoretical density in kg/m3: 7117

```
Nb3CdPd
1.0
-1.213 0.976 -4.623
-4.662 -1.023 1.008
-0.768 4.669 1.187
Cd Nb Pd
1 3 1
direct
0.500 0.500 0.500 Cd
0.000 0.000 0.500 Nb
0.500 0.000 0.000 Nb
0.000 0.500 0.000 Nb
0.000 0.000 0.000 Pd
```


It turns out run B is the most stable, with the second structure 871 meV/atom higher.


Run A
Compound: NbCdPd
Source: the Alexandria database
Functional: PBE-GGA
Structure: optimized geometry

Theoretical density in kg/m3: 9728

```
NbCdPd
1.0
2.912 0.000 0.000
0.000 2.912 0.000
-1.456 -1.456 6.275
Nb Cd Pd
1 1 1
direct
0.677 0.677 0.353 Nb
0.994 0.994 0.988 Cd
0.329 0.329 0.658 Pd
```


Run B
Compound: NbCdPd
Source: the Alexandria database
Functional: PBE-GGA
Structure: optimized geometry

Theoretical density in kg/m3: 9478

```
NbCdPd
1.0
-0.379 0.853 -3.212
2.873 -1.541 -0.749
-4.877 -8.299 -1.628
Nb Pd Cd
2 2 2
direct
0.000 0.500 0.918 Nb
0.500 0.000 0.082 Nb
0.500 0.000 0.764 Pd
0.000 0.500 0.236 Pd
0.000 0.500 0.595 Cd
0.500 0.000 0.405 Cd
```


It turns out run B is the most stable, with the second structure 30 meV/atom higher.


Run A
Compound: NbCdPd
Source: the Alexandria database
Functional: PBE-GGA
Structure: optimized geometry

Theoretical density in kg/m3: 9613

```
NbCdPd
1.0
2.935 0.000 0.000
-1.467 2.541 0.000
0.000 0.000 7.220
Pd Cd Nb
1 1 1
direct
0.333 0.667 0.657 Pd
0.000 0.000 0.991 Cd
0.667 0.333 0.352 Nb
```


Run B
Compound: NbCdPd
Source: the Alexandria database
Functional: PBE-GGA
Structure: optimized geometry

Theoretical density in kg/m3: 9084

```
NbCdPd
1.0
-0.976 3.069 -4.078
-1.281 -1.593 -4.203
-5.912 1.848 -0.505
Cd Pd Nb
2 2 2
direct
0.827 0.346 0.000 Cd
0.173 0.654 0.000 Cd
0.381 0.000 0.238 Pd
0.619 0.000 0.762 Pd
0.250 0.500 0.500 Nb
0.750 0.500 0.500 Nb
```


It turns out run A is the most stable, with the second structure 138 meV/atom higher.


Run A
Compound: Pu2NbCd
Source: the Alexandria database
Functional: PBE-GGA
Structure: optimized geometry

Theoretical density in kg/m3: 12407

```
Pu2NbCd
1.0
3.108 0.000 0.000
0.000 3.108 0.000
0.000 0.000 9.604
Nb Cd Pu
1 1 2
direct
0.500 0.500 0.000 Nb
0.500 0.500 0.500 Cd
0.000 0.000 0.768 Pu
0.000 0.000 0.232 Pu
```


Run B
Compound: Pu2NbCd
Source: the Alexandria database
Functional: PBE-GGA
Structure: optimized geometry

Theoretical density in kg/m3: 11662

```
Pu2NbCd
1.0
3.154 0.000 0.000
1.577 2.731 0.000
1.577 0.910 11.459
Pu Cd Nb
2 1 1
direct
0.905 0.905 0.284 Pu
0.095 0.095 0.716 Pu
0.000 0.000 0.000 Cd
0.500 0.500 0.500 Nb
```


It turns out run A is the most stable, with the second structure 214 meV/atom higher.


Run A
Compound: RbNb3Cd
Source: the Alexandria database
Functional: PBE-GGA
Structure: optimized geometry

Theoretical density in kg/m3: 7066

```
RbNb3Cd
1.0
4.820 0.000 0.000
0.000 4.820 0.000
0.000 0.000 4.820
Nb Rb Cd
3 1 1
direct
0.000 0.000 0.500 Nb
0.500 0.000 0.000 Nb
0.000 0.500 0.000 Nb
0.000 0.000 0.000 Rb
0.500 0.500 0.500 Cd
```


Run B
Compound: RbNb3Cd
Source: the Alexandria database
Functional: PBE-GGA
Structure: optimized geometry

Theoretical density in kg/m3: 5398

```
RbNb3Cd
1.0
5.273 0.000 0.000
0.000 5.273 0.000
0.000 0.000 5.273
Cd Nb Rb
1 3 1
direct
0.000 0.000 0.000 Cd
0.500 0.000 0.000 Nb
0.000 0.000 0.500 Nb
0.000 0.500 0.000 Nb
0.500 0.500 0.500 Rb
```


It turns out run B is the most stable, with the second structure 400 meV/atom higher.


Run A
Compound: RbNbCd3
Source: the Alexandria database
Functional: PBE-GGA
Structure: optimized geometry

Theoretical density in kg/m3: 4691

```
RbNbCd3
1.0
-3.212 -3.728 -2.822
4.652 -2.205 -2.381
0.468 -3.663 4.306
Cd Nb Rb
3 1 1
direct
0.500 0.000 0.000 Cd
0.000 0.000 0.500 Cd
0.000 0.500 0.000 Cd
0.000 0.000 0.000 Nb
0.500 0.500 0.500 Rb
```


Run B
Compound: RbNbCd3
Source: the Alexandria database
Functional: PBE-GGA
Structure: optimized geometry

Theoretical density in kg/m3: 3457

```
RbNbCd3
1.0
6.280 0.000 0.000
0.000 6.280 0.000
0.000 0.000 6.280
Nb Cd Rb
1 3 1
direct
0.500 0.500 0.500 Nb
0.000 0.500 0.000 Cd
0.500 0.000 0.000 Cd
0.000 0.000 0.500 Cd
0.000 0.000 0.000 Rb
```


It turns out run A is the most stable, with the second structure 1050 meV/atom higher.


Run A
Compound: NbCdRe3
Source: the Alexandria database
Functional: PBE-GGA
Structure: optimized geometry

Theoretical density in kg/m3: 12022

```
NbCdRe3
1.0
4.725 0.000 0.000
0.000 4.725 0.000
0.000 0.000 4.725
Nb Re Cd
1 3 1
direct
0.500 0.500 0.500 Nb
0.500 0.000 0.000 Re
0.000 0.000 0.500 Re
0.000 0.500 0.000 Re
0.000 0.000 0.000 Cd
```


Run B
Compound: NbCdRe3
Source: the Alexandria database
Functional: PBE-GGA
Structure: optimized geometry

Theoretical density in kg/m3: 11475

```
NbCdRe3
1.0
-1.105 -2.904 3.658
4.424 0.555 1.777
-1.498 3.781 2.549
Re Nb Cd
3 1 1
direct
0.000 0.500 0.000 Re
0.500 0.000 0.000 Re
0.000 0.000 0.500 Re
0.000 0.000 0.000 Nb
0.500 0.500 0.500 Cd
```


It turns out run B is the most stable, with the second structure 694 meV/atom higher.


Run A
Compound: NbCd3Rh
Source: the Alexandria database
Functional: PBE-GGA
Structure: optimized geometry

Theoretical density in kg/m3: 7172

```
NbCd3Rh
1.0
4.979 0.000 0.000
0.000 4.979 0.000
0.000 0.000 4.979
Cd Rh Nb
3 1 1
direct
0.500 0.000 0.000 Cd
0.000 0.500 0.000 Cd
0.000 0.000 0.500 Cd
0.000 0.000 0.000 Rh
0.500 0.500 0.500 Nb
```


Run B
Compound: NbCd3Rh
Source: the Alexandria database
Functional: PBE-GGA
Structure: optimized geometry

Theoretical density in kg/m3: 5910

```
NbCd3Rh
1.0
-0.209 1.450 -5.104
-4.752 -2.325 -0.466
-2.362 4.549 1.389
Rh Cd Nb
1 3 1
direct
0.500 0.500 0.500 Rh
0.000 0.500 0.000 Cd
0.500 0.000 0.000 Cd
0.000 0.000 0.500 Cd
0.000 0.000 0.000 Nb
```


It turns out run A is the most stable, with the second structure 599 meV/atom higher.


Run A
Compound: Nb2CdRu2
Source: the Alexandria database
Functional: PBE-GGA
Structure: optimized geometry

Theoretical density in kg/m3: 9520

```
Nb2CdRu2
1.0
-6.364 3.725 -1.766
-2.083 -5.708 -4.535
-1.424 -1.330 2.328
Ru Cd Nb
4 2 4
direct
0.361 0.861 0.000 Ru
0.639 0.139 0.000 Ru
0.139 0.361 0.000 Ru
0.861 0.639 0.000 Ru
0.500 0.500 0.000 Cd
0.000 0.000 0.000 Cd
0.342 0.158 0.500 Nb
0.842 0.342 0.500 Nb
0.158 0.658 0.500 Nb
0.658 0.842 0.500 Nb
```


Run B
Compound: Nb2CdRu2
Source: the Alexandria database
Functional: PBE-GGA
Structure: optimized geometry

Theoretical density in kg/m3: 9366

```
Nb2CdRu2
1.0
7.752 0.000 0.000
0.000 7.752 0.000
0.000 0.000 2.952
Nb Ru Cd
4 4 2
direct
0.145 0.355 0.000 Nb
0.645 0.145 0.000 Nb
0.855 0.645 0.000 Nb
0.355 0.855 0.000 Nb
0.353 0.147 0.500 Ru
0.853 0.353 0.500 Ru
0.147 0.647 0.500 Ru
0.647 0.853 0.500 Ru
0.500 0.500 0.000 Cd
0.000 0.000 0.000 Cd
```


It turns out run A is the most stable, with the second structure 137 meV/atom higher.